Material: TbPm2Zn4
Method: DFT, GGA-PBE
State: relaxed

Computed properties:
* ΔE_f: -156 meV per atom

Cell and atoms, written as POSCAR:
```
TbPm2Zn4
1.0
-2.609 2.609 6.360
2.609 -2.609 6.360
2.609 2.609 -6.360
Tb Pm Zn
1 2 4
Direct
0.000 0.000 0.000
0.279 0.279 0.000
0.721 0.721 0.000
0.106 0.606 0.500
0.394 0.894 0.500
0.606 0.106 0.500
0.894 0.394 0.500
```